Record 1
The following is a DFT calculation (GGA-PBEsol) of a relaxed KTl2Cl crystal.

E ... -2.759 eV per atom
Volume ... 31.82 A^3/atom
Size of the total moment ... 0.000 μB per formula unit
Formation energy from raw total energies ... -659 meV per atom
Relative energy among the computed polymorphs ... 21 meV per atom

Geometry as CIF:
```
data_KTl2Cl
_cell_length_a 4.339
_cell_length_b 4.339
_cell_length_c 13.521
_cell_angle_alpha 90.00
_cell_angle_beta 90.00
_cell_angle_gamma 90.00
_space_group_name_H-M_alt 'I 4/m m m'
_space_group_IT_number 139
_space_group_name_Hall '-I 4 2'
loop_
_atom_site_label
_atom_site_type_symbol
_atom_site_fract_x
_atom_site_fract_y
_atom_site_fract_z
_atom_site_occupancy
K1 K 0.000 0.000 0.000 1
Tl1 Tl 0.000 0.500 0.250 1
Cl1 Cl 0.000 0.000 0.500 1
```

Record 2
The following is a DFT calculation (GGA-PBEsol) of a relaxed CdGa2BiCl crystal.

E ... -2.466 eV per atom
Volume ... 37.24 A^3/atom
Size of the total moment ... 0.000 μB per formula unit
Formation energy from raw total energies ... 368 meV per atom

Geometry as CIF:
```
data_CdGa2BiCl
_cell_length_a 5.684
_cell_length_b 5.684
_cell_length_c 5.763
_cell_angle_alpha 90.00
_cell_angle_beta 90.00
_cell_angle_gamma 90.00
_space_group_name_H-M_alt 'P 4/m m m'
_space_group_IT_number 123
_space_group_name_Hall '-P 4 2'
loop_
_atom_site_label
_atom_site_type_symbol
_atom_site_fract_x
_atom_site_fract_y
_atom_site_fract_z
_atom_site_occupancy
Cd1 Cd 0.000 0.000 0.000 1
Ga1 Ga 0.000 0.500 0.500 1
Bi1 Bi 0.000 0.000 0.500 1
Cl1 Cl 0.500 0.500 0.000 1
```

Record 3
The following is a DFT calculation (GGA-PBEsol) of a relaxed AlTc2AuO crystal.

E ... -7.271 eV per atom
Volume ... 13.01 A^3/atom
Size of the total moment ... 0.001 μB per formula unit
Formation energy from raw total energies ... -111 meV per atom

Geometry as CIF:
```
data_AlTc2AuO
_cell_length_a 4.086
_cell_length_b 4.086
_cell_length_c 3.897
_cell_angle_alpha 90.00
_cell_angle_beta 90.00
_cell_angle_gamma 90.00
_space_group_name_H-M_alt 'P 4/m m m'
_space_group_IT_number 123
_space_group_name_Hall '-P 4 2'
loop_
_atom_site_label
_atom_site_type_symbol
_atom_site_fract_x
_atom_site_fract_y
_atom_site_fract_z
_atom_site_occupancy
Al1 Al 0.000 0.000 0.000 1
Tc1 Tc 0.000 0.500 0.500 1
Au1 Au 0.500 0.500 0.000 1
O1 O 0.000 0.000 0.500 1
```

Record 4
The following is a DFT calculation (GGA-PBEsol) of a relaxed YSbTe2W crystal.

E ... -5.107 eV per atom
Volume ... 35.68 A^3/atom
Size of the total moment ... 3.831 μB per formula unit
Formation energy from raw total energies ... 1340 meV per atom
Relative energy among the computed polymorphs ... 969 meV per atom

Geometry as CIF:
```
data_YSbTe2W
_cell_length_a 5.615
_cell_length_b 5.615
_cell_length_c 5.659
_cell_angle_alpha 90.00
_cell_angle_beta 90.00
_cell_angle_gamma 90.00
_space_group_name_H-M_alt 'P 4/m m m'
_space_group_IT_number 123
_space_group_name_Hall '-P 4 2'
loop_
_atom_site_label
_atom_site_type_symbol
_atom_site_fract_x
_atom_site_fract_y
_atom_site_fract_z
_atom_site_occupancy
Y1 Y 0.000 0.000 0.000 1
Sb1 Sb 0.000 0.000 0.500 1
Te1 Te 0.000 0.500 0.000 1
W1 W 0.500 0.500 0.500 1
```

Record 5
The following is a DFT calculation (GGA-PBEsol) of a relaxed Ca2FeRe crystal.

E ... -5.756 eV per atom
Volume ... 18.57 A^3/atom
Size of the total moment ... 2.356 μB per formula unit
Formation enthalpy at 0 K ... 0.884 eV/atom
Relative energy among the computed polymorphs ... 498 meV per atom

Geometry as CIF:
```
data_Ca2FeRe
_cell_length_a 2.730
_cell_length_b 4.740
_cell_length_c 5.740
_cell_angle_alpha 90.00
_cell_angle_beta 90.00
_cell_angle_gamma 90.00
_space_group_name_H-M_alt 'P m m m'
_space_group_IT_number 47
loop_
_space_group_symop_operation_xyz
'x,y,z'
'-x,-y,-z'
'-x,-y,z'
'x,y,-z'
'x,-y,-z'
'-x,y,z'
'-x,y,-z'
'x,-y,z'
loop_
_atom_site_label
_atom_site_type_symbol
_atom_site_fract_x
_atom_site_fract_y
_atom_site_fract_z
_atom_site_occupancy
Ca1 Ca 0.000 0.000 0.250 1
Fe1 Fe 0.500 0.500 0.000 1
Re1 Re 0.500 0.500 0.500 1
```

Record 6
The following is a DFT calculation (GGA-PBEsol) of a relaxed AgHgPt2 crystal.

E ... -4.451 eV per atom
Volume ... 16.36 A^3/atom
Size of the total moment ... 0.000 μB per formula unit
Formation enthalpy at 0 K ... 0.000 eV/atom

Geometry as CIF:
```
data_AgHgPt2
_cell_length_a 4.057
_cell_length_b 4.057
_cell_length_c 7.949
_cell_angle_alpha 90.00
_cell_angle_beta 90.00
_cell_angle_gamma 90.00
_space_group_name_H-M_alt 'I 4/m m m'
_space_group_IT_number 139
_space_group_name_Hall '-I 4 2'
loop_
_atom_site_label
_atom_site_type_symbol
_atom_site_fract_x
_atom_site_fract_y
_atom_site_fract_z
_atom_site_occupancy
Ag1 Ag 0.000 0.000 0.000 1
Hg1 Hg 0.000 0.000 0.500 1
Pt1 Pt 0.000 0.500 0.250 1
```

Record 7
The following is a DFT calculation (GGA-PBEsol) of a relaxed Ba2NiCCl crystal.

E ... -3.723 eV per atom
Volume ... 26.73 A^3/atom
Size of the total moment ... 0.086 μB per formula unit
Formation energy from raw total energies ... 698 meV per atom

Geometry as CIF:
```
data_Ba2NiCCl
_cell_length_a 5.751
_cell_length_b 5.751
_cell_length_c 4.040
_cell_angle_alpha 90.00
_cell_angle_beta 90.00
_cell_angle_gamma 90.00
_space_group_name_H-M_alt 'P 4/m m m'
_space_group_IT_number 123
_space_group_name_Hall '-P 4 2'
loop_
_atom_site_label
_atom_site_type_symbol
_atom_site_fract_x
_atom_site_fract_y
_atom_site_fract_z
_atom_site_occupancy
Ba1 Ba 0.000 0.500 0.000 1
Ni1 Ni 0.000 0.000 0.500 1
C1 C 0.500 0.500 0.500 1
Cl1 Cl 0.500 0.500 0.000 1
```

Record 8
The following is a DFT calculation (GGA-PBEsol) of a relaxed MnCdHPd2 crystal.

E ... -5.399 eV per atom
Volume ... 12.70 A^3/atom
Size of the total moment ... 4.106 μB per formula unit

Geometry as CIF:
```
data_MnCdHPd2
_cell_length_a 4.027
_cell_length_b 4.027
_cell_length_c 3.917
_cell_angle_alpha 90.00
_cell_angle_beta 90.00
_cell_angle_gamma 90.00
_space_group_name_H-M_alt 'P 4/m m m'
_space_group_IT_number 123
_space_group_name_Hall '-P 4 2'
loop_
_atom_site_label
_atom_site_type_symbol
_atom_site_fract_x
_atom_site_fract_y
_atom_site_fract_z
_atom_site_occupancy
Mn1 Mn 0.000 0.000 0.000 1
Cd1 Cd 0.500 0.500 0.000 1
H1 H 0.000 0.000 0.500 1
Pd1 Pd 0.000 0.500 0.500 1
```